Density functional theory data (GGA-PBE) for a geometry-optimized Sc3Cd8 structure.

Computed properties:
Energy of formation from the pure elements: -18.0 kJ/mol of atoms

abc: 11.640 11.640 11.640
angles: 24.43 24.43 24.43
Sites, in units of the cell vectors:
Sc  0.000  0.000  0.000
Sc  0.452  0.452  0.452
Sc  0.548  0.548  0.548
Cd  0.088  0.088  0.088
Cd  0.176  0.176  0.176
Cd  0.272  0.272  0.272
Cd  0.362  0.362  0.362
Cd  0.638  0.638  0.638
Cd  0.728  0.728  0.728
Cd  0.824  0.824  0.824
Cd  0.912  0.912  0.912